Record 1
Compound: AgOsN2F
Source: Alexandria
Functional: PBE-GGA
Structure: relaxed

The volume is 66.96 Å³/cell. The calculation puts the magnetic moment at 3.2 μB per cell. As for the uncorrected formation energy: 2.1910 eV per atom. As for the excess energy over the best structure of this formula in the dataset: 893 kJ/mol of formula units.

Lattice parameters (Å, degrees): 4.085 4.085 4.012 90.00 90.00 90.00
Space group P4/mmm (No. 123)
Symmetry-distinct sites (fractional):
Ag  0.000  0.000  0.000
Os  0.500  0.500  0.500
N  0.000  0.500  0.000
F  0.000  0.000  0.500

Record 2
Compound: LiNdLuPb
Source: Alexandria
Functional: PBE-GGA
Structure: relaxed

The energy of formation comes out at -0.249 eV per atom. The volume is 428.00 Å³/cell. The calculation puts the magnetic moment at 0.0 μB per cell.

Lattice parameters (Å, degrees): 7.536 7.536 7.536 90.00 90.00 90.00
Space group F-43m (No. 216)
Symmetry-distinct sites (fractional):
Li  0.000  0.000  0.000
Nd  0.250  0.250  0.750
Lu  0.250  0.250  0.250
Pb  0.000  0.000  0.500